LuPaZn (PBE, optimized geometry); crystal system = cubic; energy above the lowest structure with this stoichiometry = 0 meV per atom; energy of formation = 1.23 eV per formula unit
1.0
0.000 3.372 3.372
3.372 0.000 3.372
3.372 3.372 0.000
Lu Pa Zn
1 1 1
Direct
0.000 0.000 0.000
0.500 0.500 0.500
0.250 0.250 0.250